Arrangement i

! Pm3ThCo PBE optimized geometry; values from VASP
&SYSTEM
  ibrav = 0, nat = 10, ntyp = 3
/
ATOMIC_SPECIES
Pm 145.00 Pm.upf
Th 232.04 Th.upf
Co 58.93 Co.upf
CELL_PARAMETERS angstrom
4.1997 -5.7200 0.0000
4.1997 5.7200 0.0000
-2.3043 0.0000 6.2569
ATOMIC_POSITIONS angstrom
Pm -0.4214 0.0000 1.5622
Pm 1.9676 2.6219 1.6569
Pm 4.1276 2.6219 4.6000
Pm 1.9676 -2.6219 1.6569
Pm 4.1276 -2.6219 4.6000
Pm 6.5166 0.0000 4.6948
Th 1.7834 0.0000 4.4889
Th 4.3117 0.0000 1.7680
Co 2.2602 0.0000 0.4289
Co 3.8350 0.0000 5.8281
! - V (Å³ per cell) = 300.6
! - total magnetic moment (μB/atom) = 0.00
! - symmetry = C2/m, No. 12
! - theoretical density (g/cm³) = 8.0


Arrangement ii

! Pm3ThCo PBE optimized geometry; values from VASP
&SYSTEM
  ibrav = 0, nat = 5, ntyp = 3
/
ATOMIC_SPECIES
Pm 145.00 Pm.upf
Th 232.04 Th.upf
Co 58.93 Co.upf
CELL_PARAMETERS angstrom
5.3832 0.0000 0.0000
0.0000 5.3832 0.0000
0.0000 0.0000 5.3832
ATOMIC_POSITIONS angstrom
Pm 0.0000 0.0000 2.6916
Pm 0.0000 2.6916 0.0000
Pm 2.6916 0.0000 0.0000
Th 2.6916 2.6916 2.6916
Co 0.0000 0.0000 0.0000
! - V (Å³ per cell) = 156.0
! - total magnetic moment (μB/atom) = 0.13
! - symmetry = Pm-3m, No. 221
! - theoretical density (g/cm³) = 7.7


How do the energies compare? Relative to the most stable structure, in eV/atom: arrangement i 0.000; arrangement ii 0.156.


Arrangement i

! PmTh2Co PBE optimized geometry; values from VASP
&SYSTEM
  ibrav = 0, nat = 4, ntyp = 3
/
ATOMIC_SPECIES
Pm 145.00 Pm.upf
Th 232.04 Th.upf
Co 58.93 Co.upf
CELL_PARAMETERS angstrom
3.5318 0.0000 0.0000
0.0000 3.5318 0.0000
0.0000 0.0000 8.6994
ATOMIC_POSITIONS angstrom
Pm 0.0000 0.0000 0.0000
Th 1.7659 1.7659 2.7480
Th 1.7659 1.7659 5.9514
Co 0.0000 0.0000 4.3497
! - V (Å³ per cell) = 108.5
! - total magnetic moment (μB/atom) = 0.00
! - symmetry = P4/mmm, No. 123
! - theoretical density (g/cm³) = 10.2


Arrangement ii

! PmTh2Co PBE optimized geometry; values from VASP
&SYSTEM
  ibrav = 0, nat = 8, ntyp = 3
/
ATOMIC_SPECIES
Pm 145.00 Pm.upf
Th 232.04 Th.upf
Co 58.93 Co.upf
CELL_PARAMETERS angstrom
3.7156 0.0000 0.0000
0.0000 9.8079 0.0000
-1.8577 0.0000 5.9557
ATOMIC_POSITIONS angstrom
Pm -0.0018 2.4520 1.0374
Pm 1.8598 7.3560 4.9183
Th -0.0007 0.6546 4.2987
Th -0.0007 4.2494 4.2987
Th 1.8587 5.5585 1.6569
Th 1.8587 9.1534 1.6569
Co 0.0008 7.3560 2.3641
Co 1.8571 2.4520 3.5915
! - V (Å³ per cell) = 217.0
! - total magnetic moment (μB/atom) = 0.00
! - symmetry = P2_1/m, No. 11
! - theoretical density (g/cm³) = 10.2


Arrangement iii

! PmTh2Co PBE optimized geometry; values from VASP
&SYSTEM
  ibrav = 0, nat = 4, ntyp = 3
/
ATOMIC_SPECIES
Pm 145.00 Pm.upf
Th 232.04 Th.upf
Co 58.93 Co.upf
CELL_PARAMETERS angstrom
1.8785 1.0846 10.0894
-1.8785 1.0846 10.0894
0.0000 -2.1691 10.0894
ATOMIC_POSITIONS angstrom
Pm 0.0000 0.0000 0.0000
Th 0.0000 0.0000 3.4444
Th 0.0000 0.0000 26.8238
Co 0.0000 0.0000 15.1341
! - V (Å³ per cell) = 123.3
! - total magnetic moment (μB/atom) = 0.00
! - symmetry = R-3m, No. 166
! - theoretical density (g/cm³) = 9.0


How do the energies compare? Relative to the most stable structure, in eV/atom: arrangement i 0.168; arrangement ii 0.000; arrangement iii 0.265.


Arrangement i

! Pm5Tl2Co PBE optimized geometry; values from VASP
&SYSTEM
  ibrav = 0, nat = 16, ntyp = 3
/
ATOMIC_SPECIES
Pm 145.00 Pm.upf
Tl 204.38 Tl.upf
Co 58.93 Co.upf
CELL_PARAMETERS angstrom
8.1819 0.0000 0.0000
0.0000 12.0510 0.0000
0.0000 0.0000 4.7494
ATOMIC_POSITIONS angstrom
Pm 0.0000 0.0000 0.0000
Pm 1.0918 3.6604 0.0000
Pm 1.4858 6.8403 2.3747
Pm 2.6052 0.8148 2.3747
Pm 2.9992 9.6859 0.0000
Pm 4.0910 6.0255 0.0000
Pm 5.1828 2.3651 0.0000
Pm 5.5767 11.2362 2.3747
Pm 6.6962 5.2107 2.3747
Pm 7.0902 8.3906 0.0000
Tl 0.6145 10.0067 2.3747
Tl 3.4764 3.9812 2.3747
Tl 4.7055 8.0698 2.3747
Tl 7.5674 2.0443 2.3747
Co 0.0000 6.0255 0.0000
Co 4.0910 0.0000 0.0000
! - V (Å³ per cell) = 468.3
! - total magnetic moment (μB/atom) = 0.00
! - symmetry = Pbam, No. 55
! - theoretical density (g/cm³) = 8.5


Arrangement ii

! Pm5Tl2Co PBE optimized geometry; values from VASP
&SYSTEM
  ibrav = 0, nat = 16, ntyp = 3
/
ATOMIC_SPECIES
Pm 145.00 Pm.upf
Tl 204.38 Tl.upf
Co 58.93 Co.upf
CELL_PARAMETERS angstrom
2.7109 -8.5180 0.0000
2.7109 8.5180 0.0000
0.0000 0.0000 12.5675
ATOMIC_POSITIONS angstrom
Pm 2.7109 7.2804 7.5856
Pm 2.7109 7.2804 11.2658
Pm 2.7109 3.5407 7.3263
Pm 2.7109 3.5407 11.5250
Pm 2.7109 3.4478 3.1419
Pm 2.7109 -3.4478 9.4257
Pm 2.7109 -3.5407 1.0425
Pm 2.7109 -3.5407 5.2412
Pm 2.7109 -7.2804 1.3018
Pm 2.7109 -7.2804 4.9820
Tl 2.7109 6.5380 1.6842
Tl 2.7109 6.5380 4.5996
Tl 2.7109 -6.5380 7.9680
Tl 2.7109 -6.5380 10.8834
Co 2.7109 5.3850 9.4257
Co 2.7109 -5.3850 3.1419
! - V (Å³ per cell) = 580.4
! - total magnetic moment (μB/atom) = 0.00
! - symmetry = Cmcm, No. 63
! - theoretical density (g/cm³) = 6.8


How do the energies compare? Relative to the most stable structure, in eV/atom: arrangement i 0.000; arrangement ii 0.338.


Arrangement i

! Pm6Tl2Co PBE optimized geometry; values from VASP
&SYSTEM
  ibrav = 0, nat = 18, ntyp = 3
/
ATOMIC_SPECIES
Pm 145.00 Pm.upf
Tl 204.38 Tl.upf
Co 58.93 Co.upf
CELL_PARAMETERS angstrom
7.3125 0.0000 0.0000
0.0000 7.2787 0.0000
-7.2540 0.0000 10.1886
ATOMIC_POSITIONS angstrom
Pm -0.3521 7.2787 2.5724
Pm -3.9791 3.6394 7.6667
Pm -1.8146 1.7804 5.3482
Pm 1.8124 1.8590 0.2539
Pm -1.7567 5.4489 5.3446
Pm 1.8703 5.4692 0.2503
Pm -1.8118 1.8095 9.9383
Pm 1.8152 1.8298 4.8440
Pm -1.7539 5.4197 9.9347
Pm 1.8731 5.4983 4.8404
Pm 0.4106 0.0000 7.6163
Pm 4.0376 3.6393 2.5219
Tl 0.0297 3.6593 2.5689
Tl -3.5973 7.2587 7.6632
Tl 3.6558 0.0200 2.5254
Tl 0.0288 3.6194 7.6197
Co 0.0000 0.0000 0.0000
Co -3.6270 3.6393 5.0943
! - V (Å³ per cell) = 542.3
! - total magnetic moment (μB/atom) = 0.00
! - symmetry = P2_1/c, No. 14
! - theoretical density (g/cm³) = 8.2


Arrangement ii

! Pm6Tl2Co PBE optimized geometry; values from VASP
&SYSTEM
  ibrav = 0, nat = 9, ntyp = 3
/
ATOMIC_SPECIES
Pm 145.00 Pm.upf
Tl 204.38 Tl.upf
Co 58.93 Co.upf
CELL_PARAMETERS angstrom
3.8064 0.0000 0.0000
0.0000 7.7273 4.4637
0.0000 -7.7273 4.4637
ATOMIC_POSITIONS angstrom
Pm 0.0000 0.0000 0.0000
Pm 0.0000 -1.7865 5.8235
Pm 0.0000 1.7865 5.8235
Pm 1.9032 -4.6244 4.1835
Pm 1.9032 0.0000 3.2711
Pm 1.9032 4.6244 4.1835
Tl 0.0000 -2.5766 2.3909
Tl 0.0000 2.5766 2.3909
Co 1.9032 0.0000 6.8660
! - V (Å³ per cell) = 262.6
! - total magnetic moment (μB/atom) = 0.00
! - symmetry = Amm2, No. 38
! - theoretical density (g/cm³) = 8.5


How do the energies compare? Relative to the most stable structure, in eV/atom: arrangement i 0.031; arrangement ii 0.000.


Arrangement i

! Pm4TlCo PBE optimized geometry; values from VASP
&SYSTEM
  ibrav = 0, nat = 24, ntyp = 3
/
ATOMIC_SPECIES
Pm 145.00 Pm.upf
Tl 204.38 Tl.upf
Co 58.93 Co.upf
CELL_PARAMETERS angstrom
0.0000 6.9336 6.9336
6.9336 0.0000 6.9336
6.9336 6.9336 0.0000
ATOMIC_POSITIONS angstrom
Pm 9.0575 4.8096 4.8096
Pm 3.4668 3.4668 0.8145
Pm 3.4668 0.8145 3.4668
Pm 6.1191 3.4668 3.4668
Pm 6.9336 6.9336 2.6215
Pm 6.9336 2.6215 6.9336
Pm 11.2456 6.9336 6.9336
Pm 0.8145 3.4668 3.4668
Pm 3.4668 6.1191 3.4668
Pm 3.4668 3.4668 6.1191
Pm 4.8096 9.0575 4.8096
Pm 4.8096 4.8096 9.0575
Pm 9.0575 9.0575 9.0575
Pm 2.6215 6.9336 6.9336
Pm 6.9336 11.2456 6.9336
Pm 6.9336 6.9336 11.2456
Tl 5.7696 5.7696 5.7696
Tl 8.0975 8.0975 5.7696
Tl 8.0975 5.7696 8.0975
Tl 5.7696 8.0975 8.0975
Co 11.9141 8.8866 8.8866
Co 8.8866 11.9141 8.8866
Co 8.8866 8.8866 11.9141
Co 11.9141 11.9141 11.9141
! - V (Å³ per cell) = 666.7
! - total magnetic moment (μB/atom) = 0.00
! - symmetry = F-43m, No. 216
! - theoretical density (g/cm³) = 8.4


Arrangement ii

! Pm4TlCo PBE optimized geometry; values from VASP
&SYSTEM
  ibrav = 0, nat = 12, ntyp = 3
/
ATOMIC_SPECIES
Pm 145.00 Pm.upf
Tl 204.38 Tl.upf
Co 58.93 Co.upf
CELL_PARAMETERS angstrom
4.4412 -7.0213 0.0000
4.4412 7.0213 0.0000
-2.4289 0.0000 5.5577
ATOMIC_POSITIONS angstrom
Pm 1.1741 4.4815 5.1464
Pm 0.7665 0.9518 3.6014
Pm 4.0649 4.4815 3.1901
Pm 1.9809 -0.9518 0.8226
Pm 4.4726 0.9518 4.7351
Pm 2.3885 -4.4815 2.3675
Pm 5.6870 -0.9518 1.9563
Pm 5.2794 -4.4815 0.4113
Tl 3.8340 1.7041 1.3894
Tl 2.6195 -1.7041 4.1682
Co 2.6195 7.0042 4.1682
Co 3.8340 -7.0042 1.3894
! - V (Å³ per cell) = 346.6
! - total magnetic moment (μB/atom) = 0.00
! - symmetry = C2/c, No. 15
! - theoretical density (g/cm³) = 8.1


How do the energies compare? Relative to the most stable structure, in eV/atom: arrangement i 0.000; arrangement ii 0.054.


Arrangement i

! Pm3TmCo PBE optimized geometry; values from VASP
&SYSTEM
  ibrav = 0, nat = 10, ntyp = 3
/
ATOMIC_SPECIES
Pm 145.00 Pm.upf
Tm 168.93 Tm.upf
Co 58.93 Co.upf
CELL_PARAMETERS angstrom
6.4170 -3.8205 0.0000
6.4170 3.8205 0.0000
-0.0094 0.0000 6.1395
ATOMIC_POSITIONS angstrom
Pm 0.9937 0.0000 1.5433
Pm 4.3332 1.8757 1.5258
Pm 8.4913 1.8757 4.6137
Pm 4.3332 -1.8757 1.5258
Pm 8.4913 -1.8757 4.6137
Pm 11.8309 0.0000 4.5962
Tm 5.3592 0.0000 4.6336
Tm 7.4653 0.0000 1.5059
Co 3.1738 0.0000 6.1168
Co 9.6507 0.0000 0.0227
! - V (Å³ per cell) = 301.0
! - total magnetic moment (μB/atom) = 0.00
! - symmetry = C2/m, No. 12
! - theoretical density (g/cm³) = 7.3


Arrangement ii

! Pm3TmCo PBE optimized geometry; values from VASP
&SYSTEM
  ibrav = 0, nat = 5, ntyp = 3
/
ATOMIC_SPECIES
Pm 145.00 Pm.upf
Tm 168.93 Tm.upf
Co 58.93 Co.upf
CELL_PARAMETERS angstrom
5.3865 0.0000 0.0000
0.0000 5.3865 0.0000
0.0000 0.0000 5.3865
ATOMIC_POSITIONS angstrom
Pm 0.0000 0.0000 2.6933
Pm 0.0000 2.6933 0.0000
Pm 2.6933 0.0000 0.0000
Tm 2.6933 2.6933 2.6933
Co 0.0000 0.0000 0.0000
! - V (Å³ per cell) = 156.3
! - total magnetic moment (μB/atom) = 0.10
! - symmetry = Pm-3m, No. 221
! - theoretical density (g/cm³) = 7.0


How do the energies compare? Relative to the most stable structure, in eV/atom: arrangement i 0.000; arrangement ii 0.100.


Arrangement i

! PmTm2Co PBE optimized geometry; values from VASP
&SYSTEM
  ibrav = 0, nat = 8, ntyp = 3
/
ATOMIC_SPECIES
Pm 145.00 Pm.upf
Tm 168.93 Tm.upf
Co 58.93 Co.upf
CELL_PARAMETERS angstrom
3.6223 0.0000 0.0000
0.0000 9.3381 0.0000
-1.8033 0.0000 6.0404
ATOMIC_POSITIONS angstrom
Pm 0.0011 2.3345 0.9797
Pm 1.8179 7.0036 5.0607
Tm 0.0040 0.6772 4.3139
Tm 0.0040 3.9918 4.3139
Tm 1.8150 5.3463 1.7265
Tm 1.8150 8.6609 1.7265
Co 0.0044 7.0036 2.9773
Co 1.8146 2.3345 3.0631
! - V (Å³ per cell) = 204.3
! - total magnetic moment (μB/atom) = 0.00
! - symmetry = P2_1/m, No. 11
! - theoretical density (g/cm³) = 8.8


Arrangement ii

! PmTm2Co PBE optimized geometry; values from VASP
&SYSTEM
  ibrav = 0, nat = 4, ntyp = 3
/
ATOMIC_SPECIES
Pm 145.00 Pm.upf
Tm 168.93 Tm.upf
Co 58.93 Co.upf
CELL_PARAMETERS angstrom
3.3667 0.0000 0.0000
0.0000 3.3667 0.0000
0.0000 0.0000 8.8313
ATOMIC_POSITIONS angstrom
Pm 0.0000 0.0000 0.0000
Tm 1.6834 1.6834 2.8321
Tm 1.6834 1.6834 5.9992
Co 0.0000 0.0000 4.4157
! - V (Å³ per cell) = 100.1
! - total magnetic moment (μB/atom) = 0.15
! - symmetry = P4/mmm, No. 123
! - theoretical density (g/cm³) = 9.0


Arrangement iii

! PmTm2Co PBE optimized geometry; values from VASP
&SYSTEM
  ibrav = 0, nat = 4, ntyp = 3
/
ATOMIC_SPECIES
Pm 145.00 Pm.upf
Tm 168.93 Tm.upf
Co 58.93 Co.upf
CELL_PARAMETERS angstrom
1.7937 1.0356 10.2536
-1.7937 1.0356 10.2536
0.0000 -2.0712 10.2536
ATOMIC_POSITIONS angstrom
Pm 0.0000 0.0000 0.0000
Tm 0.0000 0.0000 3.5536
Tm 0.0000 0.0000 27.2072
Co 0.0000 0.0000 15.3804
! - V (Å³ per cell) = 114.3
! - total magnetic moment (μB/atom) = 0.00
! - symmetry = R-3m, No. 166
! - theoretical density (g/cm³) = 7.9


Arrangement iv

! PmTm2Co PBE optimized geometry; values from VASP
&SYSTEM
  ibrav = 0, nat = 4, ntyp = 3
/
ATOMIC_SPECIES
Pm 145.00 Pm.upf
Tm 168.93 Tm.upf
Co 58.93 Co.upf
CELL_PARAMETERS angstrom
1.8799 1.0853 8.8865
-1.8799 1.0853 8.8865
0.0000 -2.1707 8.8865
ATOMIC_POSITIONS angstrom
Pm 0.0000 0.0000 0.0000
Tm 0.0000 0.0000 14.7434
Tm 0.0000 0.0000 20.6877
Co 0.0000 0.0000 4.3875
! - V (Å³ per cell) = 108.8
! - total magnetic moment (μB/atom) = 0.00
! - symmetry = R3m, No. 160
! - theoretical density (g/cm³) = 8.3


How do the energies compare? Relative to the most stable structure, in eV/atom: arrangement i 0.000; arrangement ii 0.031; arrangement iii 0.253; arrangement iv 0.102.


Arrangement i

! PmTm3Co PBE optimized geometry; values from VASP
&SYSTEM
  ibrav = 0, nat = 10, ntyp = 3
/
ATOMIC_SPECIES
Pm 145.00 Pm.upf
Tm 168.93 Tm.upf
Co 58.93 Co.upf
CELL_PARAMETERS angstrom
6.5219 -1.8512 0.0000
6.5219 1.8512 0.0000
-0.1256 0.0000 11.0244
ATOMIC_POSITIONS angstrom
Pm 2.1680 0.0000 1.0057
Pm 10.7503 0.0000 10.0186
Tm 0.7497 0.0000 4.1053
Tm 2.7287 0.0000 7.0083
Tm 5.6621 0.0000 1.7370
Tm 7.2561 0.0000 9.2874
Tm 10.1896 0.0000 4.0160
Tm 12.1686 0.0000 6.9190
Co 5.3634 0.0000 4.8659
Co 7.5548 0.0000 6.1585
! - V (Å³ per cell) = 266.2
! - total magnetic moment (μB/atom) = 0.00
! - symmetry = C2/m, No. 12
! - theoretical density (g/cm³) = 8.9


Arrangement ii

! PmTm3Co PBE optimized geometry; values from VASP
&SYSTEM
  ibrav = 0, nat = 5, ntyp = 3
/
ATOMIC_SPECIES
Pm 145.00 Pm.upf
Tm 168.93 Tm.upf
Co 58.93 Co.upf
CELL_PARAMETERS angstrom
5.2258 0.0000 0.0000
0.0000 5.2258 0.0000
0.0000 0.0000 5.2258
ATOMIC_POSITIONS angstrom
Pm 0.0000 0.0000 0.0000
Tm 0.0000 2.6129 2.6129
Tm 2.6129 0.0000 2.6129
Tm 2.6129 2.6129 0.0000
Co 2.6129 2.6129 2.6129
! - V (Å³ per cell) = 142.7
! - total magnetic moment (μB/atom) = 0.00
! - symmetry = Pm-3m, No. 221
! - theoretical density (g/cm³) = 8.3


How do the energies compare? Relative to the most stable structure, in eV/atom: arrangement i 0.000; arrangement ii 0.053.